KFe2Ru: relaxed, PBE.

Values from the calculation:
As for the density: 6.41 Mg/m³. Its space-group type is No. 123. The energy above the most stable polymorph in this dataset comes out at 503.9 meV per atom. The raw total energy comes out at -5.642 eV/atom. The calculated volume comes out at 65.2 Å³/cell.

```
KFe2Ru
1.0
4.973 0.000 0.000
0.000 4.973 0.000
0.000 0.000 2.637
K Fe Ru
1 2 1
Direct
0.500 0.000 0.500
0.000 0.000 0.000
0.500 0.500 0.000
0.000 0.500 0.500
```

=====

K2FeRu: relaxed, PBE.

Values from the calculation:
As for the density: 3.13 Mg/m³. Its space-group type is No. 71. The energy above the most stable polymorph in this dataset comes out at 59.8 meV per atom. The raw total energy comes out at -4.224 eV/atom. The calculated volume comes out at 124.5 Å³/cell.

```
K2FeRu
1.0
10.432 0.537 -0.292
9.028 5.254 0.292
-9.679 -3.065 2.472
Ru Fe K
1 1 2
Direct
0.750 0.250 0.500
0.250 0.750 0.500
0.394 0.394 0.000
0.106 0.106 0.000
```

=====

KFeRu2: relaxed, PBE.

Values from the calculation:
As for the density: 8.02 Mg/m³. Its space-group type is No. 225. The energy above the most stable polymorph in this dataset comes out at 901.0 meV per atom. The raw total energy comes out at -5.426 eV/atom. The calculated volume comes out at 61.5 Å³/cell.

```
KFeRu2
1.0
1.618 -1.241 3.934
-2.639 -0.072 3.559
-1.220 -3.872 1.776
Fe Ru K
1 2 1
Direct
0.500 0.500 0.500
0.250 0.250 0.250
0.750 0.750 0.750
0.000 0.000 0.000
```

=====

KFeRu2: relaxed, PBE.

Values from the calculation:
As for the density: 7.43 Mg/m³. Its space-group type is No. 47. The energy above the most stable polymorph in this dataset comes out at 605.0 meV per atom. The raw total energy comes out at -5.722 eV/atom. The calculated volume comes out at 66.4 Å³/cell.

```
KFeRu2
1.0
2.739 0.000 0.000
0.000 4.867 0.000
0.000 0.000 4.981
Ru K Fe
2 1 1
Direct
0.500 0.500 0.000
0.000 0.000 0.000
0.000 0.500 0.500
0.500 0.000 0.500
```